Cr2Ni2I, optimized geometry, DFT PBE; ΔE_f (raw) = 0.610 eV per atom; SG = I4/mmm, No. 139; spin magnetization = 7.25 Bohr magnetons per cell; uncorrected energy = -5.862 eV/atom
1.0
-1.744 1.744 7.076
1.744 -1.744 7.076
1.744 1.744 -7.076
Cr Ni I
2 2 1
Cartesian
0.000 0.000 1.769
0.000 0.000 12.383
1.744 0.000 3.538
0.000 1.744 3.538
0.000 0.000 7.076